Below is CsAlSe2Br after structural relaxation, with properties calculated at the PBE-GGA level.

Results
raw formation energy = -3.9 eV/f.u.
polymorph energy (0 for the lowest one) = 0 meV/atom

a b c (Å): 4.9825 4.9825 5.8475
angles (deg): 90.00 90.00 90.00
Positions (direct):
Br  0.0000  0.0000  0.5000
Se  0.0000  0.5000  0.0000
Al  0.0000  0.0000  0.0000
Cs  0.5000  0.5000  0.5000
Se  0.5000  0.0000  0.0000

Below is GaTeRuO2 after structural relaxation, with properties calculated at the PBE-GGA level.

Results
raw formation energy = -1.9 eV/f.u.

a b c (Å): 3.8581 3.8581 5.9515
angles (deg): 90.00 90.00 90.00
Positions (direct):
Ga  0.0000  0.0000  0.5000
O  0.0000  0.5000  0.0000
O  0.5000  0.0000  0.0000
Ru  0.0000  0.0000  0.0000
Te  0.5000  0.5000  0.5000

Below is HoPd3Au2 after structural relaxation, with properties calculated at the PBE-GGA level.

Results
energy relative to the elements = -0.61 eV/atom
polymorph energy (0 for the lowest one) = 30 meV/atom

a b c (Å): 4.0751 5.9102 8.7879
angles (deg): 90.00 90.00 90.00
Positions (direct):
Pd  0.5000  0.6616  0.3329
Au  0.5000  0.6476  0.6561
Ho  0.0000  0.9156  0.8272
Ho  0.0000  0.4156  0.1728
Pd  0.5000  0.6639  0.9986
Pd  0.5000  0.1639  0.0014
Au  0.0000  0.9102  0.1678
Pd  0.0000  0.4025  0.4910
Pd  0.5000  0.1616  0.6671
Au  0.5000  0.1476  0.3439
Pd  0.0000  0.9025  0.5090
Au  0.0000  0.4102  0.8322

Below is SrBr after structural relaxation, with properties calculated at the PBE-GGA level.

Results
raw formation energy = -2.8 eV/f.u.

a b c (Å): 8.0035 8.0035 10.6600
angles (deg): 52.55 52.55 30.05
Positions (direct):
Sr  0.7830  0.7830  0.3645
Br  0.3842  0.3842  0.4747
Br  0.0283  0.0283  0.0582
Sr  0.6427  0.6427  0.1297
Sr  0.9864  0.9864  0.5892
Br  0.3422  0.3422  0.8837

Below is TlInOs2 after structural relaxation, with properties calculated at the PBE-GGA level.

Results
energy relative to the elements = 1.01 eV/atom
polymorph energy (0 for the lowest one) = 592 meV/atom

a b c (Å): 5.1273 5.1273 5.1273
angles (deg): 132.79 132.79 68.99
Positions (direct):
Os  0.0000  0.0000  0.0000
Tl  0.5000  0.5000  0.0000
Os  0.2500  0.7500  0.5000
In  0.7500  0.2500  0.5000

Below is Cs2CrMo after structural relaxation, with properties calculated at the PBE-GGA level.

Results
energy relative to the elements = 2.30 eV/atom

a b c (Å): 6.1309 6.1309 6.1309
angles (deg): 60.00 60.00 60.00
Positions (direct):
Cs  0.7500  0.7500  0.7500
Cs  0.2500  0.2500  0.2500
Cr  0.0000  0.0000  0.0000
Mo  0.5000  0.5000  0.5000

Below is BaAgOs2 after structural relaxation, with properties calculated at the PBE-GGA level.

Results
energy relative to the elements = 0.97 eV/atom
polymorph energy (0 for the lowest one) = 620 meV/atom

a b c (Å): 4.6958 4.6958 10.2692
angles (deg): 76.78 76.78 90.00
Positions (direct):
Ag  0.2500  0.7500  0.5000
Ba  0.0000  0.0000  0.0000
Ag  0.5000  0.5000  0.0000
Ba  0.7500  0.2500  0.5000
Os  0.3229  0.6250  0.2500
Os  0.4271  0.1250  0.2500
Os  0.8750  0.6771  0.7500
Os  0.3750  0.5729  0.7500

Below is Ba2CaGa2 after structural relaxation, with properties calculated at the PBE-GGA level.

Results
energy relative to the elements = -0.31 eV/atom
polymorph energy (0 for the lowest one) = 7 meV/atom

a b c (Å): 5.7420 6.0031 11.7679
angles (deg): 82.11 75.88 61.43
Positions (direct):
Ba  0.3939  0.3151  0.8971
Ga  0.5248  0.3557  0.5947
Ga  0.4752  0.6443  0.4053
Ca  0.1823  0.0253  0.6101
Ga  0.0751  0.9594  0.8905
Ga  0.9249  0.0406  0.1095
Ba  0.6061  0.6849  0.1029
Ba  0.1954  0.3234  0.2859
Ca  0.8177  0.9747  0.3899
Ba  0.8046  0.6766  0.7141

Below is CaMnNi after structural relaxation, with properties calculated at the PBE-GGA level.

Results
energy relative to the elements = 0.20 eV/atom

a b c (Å): 4.0296 4.0296 4.2993
angles (deg): 90.00 90.00 120.00
Positions (direct):
Mn  0.6667  0.3333  0.5000
Ca  0.0000  0.0000  0.9999
Ni  0.3333  0.6667  0.5001

Below is Tb2TlSb after structural relaxation, with properties calculated at the PBE-GGA level.

Results
raw formation energy = -2.9 eV/f.u.
polymorph energy (0 for the lowest one) = 0 meV/atom

a b c (Å): 4.3982 4.4852 12.2843
angles (deg): 100.52 90.00 90.00
Positions (direct):
Sb  0.7500  0.8118  0.6236
Tb  0.2500  0.3156  0.6311
Tb  0.2500  0.0635  0.1270
Tl  0.7500  0.5458  0.0915
Tl  0.2500  0.4542  0.9085
Tb  0.7500  0.9365  0.8730
Tb  0.7500  0.6844  0.3689
Sb  0.2500  0.1882  0.3764

Below is CaSnPb3 after structural relaxation, with properties calculated at the PBE-GGA level.

Results
energy relative to the elements = 0.30 eV/atom
polymorph energy (0 for the lowest one) = 410 meV/atom

a b c (Å): 5.8194 5.8194 5.8194
angles (deg): 90.00 90.00 90.00
Positions (direct):
Pb  0.0000  0.0000  0.5000
Ca  0.5000  0.5000  0.5000
Pb  0.5000  0.0000  0.0000
Pb  0.0000  0.5000  0.0000
Sn  0.0000  0.0000  0.0000

Below is Pr2NdInC after structural relaxation, with properties calculated at the PBE-GGA level.

Results
energy relative to the elements = -0.30 eV/atom

a b c (Å): 5.1355 5.1756 5.1756
angles (deg): 90.00 90.00 90.00
Positions (direct):
C  0.0000  0.0000  0.0000
Pr  0.0000  0.0000  0.5000
Pr  0.0000  0.5000  0.0000
In  0.5000  0.5000  0.5000
Nd  0.5000  0.0000  0.0000

Below is Tb12Cd2In5 after structural relaxation, with properties calculated at the PBE-GGA level.

Results
energy relative to the elements = -0.15 eV/atom

a b c (Å): 7.2451 9.3549 9.1921
angles (deg): 82.17 90.00 112.78
Positions (direct):
In  0.0000  0.0000  0.5000
Tb  0.9584  0.9168  0.1946
Tb  0.0782  0.6772  0.9181
Tb  0.9218  0.3228  0.0819
In  0.6957  0.3913  0.7676
Cd  0.3190  0.0000  0.0000
Tb  0.0416  0.0832  0.8054
Tb  0.5990  0.6772  0.9181
In  0.2288  0.4576  0.7522
Cd  0.6810  0.0000  0.0000
Tb  0.5089  0.0178  0.3131
Tb  0.1002  0.6966  0.5059
Tb  0.4036  0.3034  0.4941
In  0.3043  0.6087  0.2324
Tb  0.4911  0.9822  0.6869
In  0.7712  0.5424  0.2478
Tb  0.8998  0.3034  0.4941
Tb  0.4010  0.3228  0.0819
Tb  0.5964  0.6966  0.5059

Below is Dy2Tm3ScSe6 after structural relaxation, with properties calculated at the PBE-GGA level.

Results
raw formation energy = -20.1 eV/f.u.

a b c (Å): 4.0063 8.0599 8.9706
angles (deg): 103.06 102.90 90.00
Positions (direct):
Se  0.9975  0.2430  0.9950
Se  0.6650  0.5862  0.3299
Dy  0.1669  0.3331  0.3339
Tm  0.1699  0.8348  0.3397
Se  0.6626  0.0773  0.3253
Tm  0.5000  0.5000  0.0000
Se  0.0025  0.7570  0.0050
Sc  0.5000  0.0000  0.0000
Dy  0.8331  0.6669  0.6661
Tm  0.8301  0.1652  0.6603
Se  0.3374  0.9227  0.6747
Se  0.3350  0.4138  0.6701

Below is W2Au3 after structural relaxation, with properties calculated at the PBE-GGA level.

Results
energy relative to the elements = 0.39 eV/atom

a b c (Å): 12.0083 12.0083 12.0083
angles (deg): 13.75 13.75 13.75
Positions (direct):
Au  0.2016  0.2016  0.2016
W  0.3998  0.3998  0.3998
Au  0.0000  0.0000  0.0000
Au  0.7984  0.7984  0.7984
W  0.6002  0.6002  0.6002

Below is PIrPt2N after structural relaxation, with properties calculated at the PBE-GGA level.

Results
raw formation energy = 4.2 eV/f.u.

a b c (Å): 4.3627 3.8831 4.3627
angles (deg): 90.00 90.00 90.00
Positions (direct):
N  0.0000  0.0000  0.0000
Pt  0.0000  0.0000  0.5000
Pt  0.5000  0.0000  0.0000
P  0.5000  0.5000  0.5000
Ir  0.0000  0.5000  0.0000

Below is Hg3PdBr after structural relaxation, with properties calculated at the PBE-GGA level.

Results
raw formation energy = -0.4 eV/f.u.
polymorph energy (0 for the lowest one) = 0 meV/atom

a b c (Å): 5.2995 5.2995 5.2995
angles (deg): 90.00 90.00 90.00
Positions (direct):
Hg  0.5000  0.0000  0.0000
Pd  0.0000  0.0000  0.0000
Hg  0.0000  0.0000  0.5000
Hg  0.0000  0.5000  0.0000
Br  0.5000  0.5000  0.5000

Below is GaPtRh after structural relaxation, with properties calculated at the PBE-GGA level.

Results
energy relative to the elements = -0.45 eV/atom
polymorph energy (0 for the lowest one) = 0 meV/atom

a b c (Å): 2.9359 2.9359 5.5180
angles (deg): 105.43 105.43 90.00
Positions (direct):
Pt  0.0114  0.0114  0.0228
Ga  0.6714  0.6714  0.3427
Rh  0.3172  0.3172  0.6345

Below is Sm2Zn5Ir5 after structural relaxation, with properties calculated at the PBE-GGA level.

Results
energy relative to the elements = -0.44 eV/atom

a b c (Å): 4.0856 5.5691 9.1434
angles (deg): 90.00 90.00 90.00
Positions (direct):
Ir  0.5000  0.7546  0.2493
Zn  0.0000  0.0000  0.8302
Ir  0.5000  0.7546  0.7507
Sm  0.0000  0.5000  0.0000
Zn  0.5000  0.0000  0.0000
Ir  0.5000  0.2454  0.2493
Zn  0.0000  0.0000  0.1698
Ir  0.5000  0.2454  0.7507
Ir  0.5000  0.5000  0.5000
Zn  0.0000  0.5000  0.6698
Sm  0.0000  0.0000  0.5000
Zn  0.0000  0.5000  0.3302

Below is BeB2Mo after structural relaxation, with properties calculated at the PBE-GGA level.

Results
energy relative to the elements = -0.18 eV/atom

a b c (Å): 2.9762 3.4975 6.7046
angles (deg): 95.55 90.00 90.00
Positions (direct):
B  0.2500  0.9875  0.9324
B  0.7500  0.0125  0.0676
Be  0.2500  0.9085  0.6243
B  0.2500  0.3902  0.5259
Be  0.7500  0.0915  0.3757
B  0.7500  0.6098  0.4741
Mo  0.7500  0.4379  0.8087
Mo  0.2500  0.5621  0.1913

Quick rundown of volume, same order as above: 29.03, 17.72, 17.64, 44.27, 17.82, 40.74, 26.79, 34.54, 20.15, 29.78, 39.42, 27.51, 29.90, 22.89, 17.03, 14.78, 29.77, 14.69, 17.34, 8.68 Å³ per atom